VASP calculation (PBE) on an optimized crystal structure of Rb2NaTlBr5.

**Electronic total energy**: -2.839 eV per atom
**Symmetry**: No. 36

Lattice parameters (Å, degrees): 9.952 9.952 14.287 90.00 90.00 151.77
Element x y z (fractional)
Rb 0.117 0.883 0.500
Rb 0.148 0.852 0.118
Rb 0.852 0.148 0.618
Rb 0.883 0.117 0.000
Na 0.214 0.786 0.834
Na 0.786 0.214 0.334
Tl 0.469 0.531 0.267
Tl 0.531 0.469 0.767
Br 0.052 0.948 0.868
Br 0.288 0.712 0.462
Br 0.323 0.677 0.190
Br 0.371 0.629 0.811
Br 0.489 0.511 0.579
Br 0.511 0.489 0.079
Br 0.629 0.371 0.311
Br 0.677 0.323 0.690
Br 0.712 0.288 0.962
Br 0.948 0.052 0.368

=====

VASP calculation (PBE) on an optimized crystal structure of KAg2Ir.

**Formation energy**: 594 meV per atom
**Distance to the lowest polymorph of the same formula**: 0.49 eV/f.u.
**Symmetry**: No. 166

Lattice parameters (Å, degrees): 10.669 10.669 10.669 15.73 15.73 15.73
Element x y z (fractional)
K 0.000 0.000 0.000
Ag 0.240 0.240 0.240
Ag 0.760 0.760 0.760
Ir 0.500 0.500 0.500

=====

VASP calculation (PBE) on an optimized crystal structure of Nd13Zn2.

**Formation energy**: -7 meV per atom
**Symmetry**: No. 2

Lattice parameters (Å, degrees): 6.749 8.543 9.671 64.28 81.83 80.73
Element x y z (fractional)
Nd 0.000 0.000 0.000
Nd 0.033 0.217 0.334
Nd 0.189 0.641 0.364
Nd 0.239 0.580 0.017
Nd 0.277 0.358 0.773
Nd 0.438 0.058 0.154
Nd 0.485 0.769 0.573
Nd 0.515 0.231 0.427
Nd 0.562 0.942 0.846
Nd 0.723 0.642 0.227
Nd 0.761 0.420 0.983
Nd 0.811 0.359 0.636
Nd 0.967 0.783 0.666
Zn 0.177 0.064 0.672
Zn 0.823 0.936 0.328

=====

VASP calculation (PBE) on an optimized crystal structure of PmZrGa.

**Formation energy**: -238 meV per atom
**Distance to the lowest polymorph of the same formula**: 0.50 eV/f.u.
**Symmetry**: No. 107

Lattice parameters (Å, degrees): 7.201 7.201 7.201 154.05 154.05 37.03
Element x y z (fractional)
Pm 0.000 0.000 0.000
Zr 0.297 0.297 0.000
Ga 0.661 0.661 0.000

=====

VASP calculation (PBE) on an optimized crystal structure of HgGeP.

**Formation energy**: 99 meV per atom
**Distance to the lowest polymorph of the same formula**: 0.00 eV/f.u.
**Symmetry**: No. 1

Lattice parameters (Å, degrees): 3.697 5.896 6.495 89.98 89.95 89.47
Element x y z (fractional)
Hg 0.000 0.000 0.000
Hg 0.494 0.499 0.989
Ge 0.286 0.564 0.388
Ge 0.786 0.063 0.602
P 0.284 0.974 0.380
P 0.783 0.474 0.609

=====

VASP calculation (PBE) on an optimized crystal structure of Ti3BiPb.

**Formation energy**: 915 meV per atom
**Distance to the lowest polymorph of the same formula**: 4.61 eV/f.u.
**Symmetry**: No. 221

Lattice parameters (Å, degrees): 5.204 5.204 5.204 90.00 90.00 90.00
Element x y z (fractional)
Ti 0.000 0.000 0.500
Ti 0.000 0.500 0.000
Ti 0.500 0.000 0.000
Bi 0.000 0.000 0.000
Pb 0.500 0.500 0.500

=====

Question: Which formula does entry 6 have?
Answer: Ti3BiPb